{"formula": "ErPaTlC", "functional": "PBE-GGA", "state": "relaxed", "ef_ev_per_atom": -0.22, "space_group": "R3m, No. 160", "lattice": [[-3.2133, 0.7682, 1.0142], [-2.4446, -2.4430, -0.0064], [0.2332, -2.7007, 8.6729]], "species": ["Tl", "C", "Er", "Pa"], "fractional_positions": [[0.8677, 0.8677, 0.3970], [0.7112, 0.7112, 0.8663], [0.4315, 0.4315, 0.7054], [0.9938, 0.9938, 0.0186]]}